Material: Cs3ZrTc
Method: DFT, SCAN
State: PBEsol geometry

Values from the calculation:
The density of states at the Fermi level is 9.3 states/eV/f.u. As for the energy of formation from the pure elements: 1.94 eV/atom.

```
data_Cs3ZrTc
_chemical_formula_sum 'Cs3 Zr1 Tc1'
_symmetry_space_group_name_H-M 'P m -3 m'
_symmetry_Int_Tables_number 221
_symmetry_space_group_name_Hall '-P 4 2 3'
_cell_length_a 6.750
_cell_length_b 6.750
_cell_length_c 6.750
_cell_angle_alpha 90.00
_cell_angle_beta 90.00
_cell_angle_gamma 90.00
loop_
_atom_site_label
_atom_site_type_symbol
_atom_site_fract_x
_atom_site_fract_y
_atom_site_fract_z
Cs1 Cs 0.000 0.000 0.500
Zr1 Zr 0.000 0.000 0.000
Tc1 Tc 0.500 0.500 0.500
```

***

Material: Cs2Te3
Method: DFT, SCAN
State: PBEsol geometry

Values from the calculation:
As for the energy relative to the elements, uncorrected: -0.880 eV/atom.

```
data_Cs2Te3
_chemical_formula_sum 'Cs8 Te12'
_symmetry_space_group_name_H-M 'C m c 21'
_symmetry_Int_Tables_number 36
_cell_length_a 8.333
_cell_length_b 12.187
_cell_length_c 8.362
_cell_angle_alpha 90.00
_cell_angle_beta 90.00
_cell_angle_gamma 90.00
loop_
_symmetry_equiv_pos_as_xyz
'x,y,z'
'-x,-y,z+1/2'
'-x,y,z'
'x,-y,z+1/2'
'x+1/2,y+1/2,z'
'-x+1/2,-y+1/2,z+1/2'
'-x+1/2,y+1/2,z'
'x+1/2,-y+1/2,z+1/2'
loop_
_atom_site_label
_atom_site_type_symbol
_atom_site_fract_x
_atom_site_fract_y
_atom_site_fract_z
Cs1 Cs 0.000 0.083 0.000
Cs2 Cs 0.000 0.416 0.216
Te1 Te 0.000 0.276 0.647
Te2 Te 0.242 0.172 0.357
```

***

Material: CsTiTe2
Method: DFT, SCAN
State: PBEsol geometry

Values from the calculation:
As for the energy relative to the elements, uncorrected: -1.034 eV/atom.

```
data_CsTiTe2
_chemical_formula_sum 'Cs4 Ti4 Te8'
_symmetry_space_group_name_H-M 'C 1 2/c 1'
_symmetry_Int_Tables_number 15
_cell_length_a 8.032
_cell_length_b 13.390
_cell_length_c 6.402
_cell_angle_alpha 90.00
_cell_angle_beta 113.22
_cell_angle_gamma 90.00
loop_
_symmetry_equiv_pos_as_xyz
'x,y,z'
'-x,-y,-z'
'-x,y,-z+1/2'
'x,-y,z+1/2'
'x+1/2,y+1/2,z'
'-x+1/2,-y+1/2,-z'
'-x+1/2,y+1/2,-z+1/2'
'x+1/2,-y+1/2,z+1/2'
loop_
_atom_site_label
_atom_site_type_symbol
_atom_site_fract_x
_atom_site_fract_y
_atom_site_fract_z
Cs1 Cs 0.000 0.144 0.250
Ti1 Ti 0.000 0.498 0.750
Te1 Te 0.204 0.389 0.104
```

***

Material: CsTl2Te2
Method: DFT, SCAN
State: PBEsol geometry

Values from the calculation:
As for the energy relative to the elements, uncorrected: -0.491 eV/atom. The density of states at the Fermi level is 2.3 states/eV/f.u.

```
data_CsTl2Te2
_chemical_formula_sum 'Cs2 Tl4 Te4'
_symmetry_space_group_name_H-M 'P 4/m b m'
_symmetry_Int_Tables_number 127
_symmetry_space_group_name_Hall '-P 4 2ab'
_cell_length_a 9.286
_cell_length_b 9.286
_cell_length_c 3.933
_cell_angle_alpha 90.00
_cell_angle_beta 90.00
_cell_angle_gamma 90.00
loop_
_atom_site_label
_atom_site_type_symbol
_atom_site_fract_x
_atom_site_fract_y
_atom_site_fract_z
Cs1 Cs 0.000 0.000 0.000
Tl1 Tl 0.123 0.377 0.000
Te1 Te 0.172 0.672 0.500
```

***

Material: CsTl2Te2
Method: DFT, SCAN
State: PBEsol geometry

Values from the calculation:
As for the energy relative to the elements, uncorrected: -0.496 eV/atom. The density of states at the Fermi level is 1.8 states/eV/f.u.

```
data_CsTl2Te2
_chemical_formula_sum 'Cs2 Tl4 Te4'
_symmetry_space_group_name_H-M 'I 4/m m m'
_symmetry_Int_Tables_number 139
_symmetry_space_group_name_Hall '-I 4 2'
_cell_length_a 5.868
_cell_length_b 5.868
_cell_length_c 10.712
_cell_angle_alpha 90.00
_cell_angle_beta 90.00
_cell_angle_gamma 90.00
loop_
_atom_site_label
_atom_site_type_symbol
_atom_site_fract_x
_atom_site_fract_y
_atom_site_fract_z
Cs1 Cs 0.000 0.000 0.000
Tl1 Tl 0.000 0.000 0.356
Te1 Te 0.000 0.500 0.250
```

***

Material: Cs3Tm11Te18
Method: DFT, SCAN
State: PBEsol geometry

Values from the calculation:
As for the energy relative to the elements, uncorrected: -1.533 eV/atom.

```
data_Cs3Tm11Te18
_chemical_formula_sum 'Cs6 Tm22 Te36'
_symmetry_space_group_name_H-M 'C 1 2/m 1'
_symmetry_Int_Tables_number 12
_cell_length_a 26.456
_cell_length_b 4.283
_cell_length_c 19.950
_cell_angle_alpha 90.00
_cell_angle_beta 100.46
_cell_angle_gamma 90.00
loop_
_symmetry_equiv_pos_as_xyz
'x,y,z'
'-x,-y,-z'
'-x,y,-z'
'x,-y,z'
'x+1/2,y+1/2,z'
'-x+1/2,-y+1/2,-z'
'-x+1/2,y+1/2,-z'
'x+1/2,-y+1/2,z'
loop_
_atom_site_label
_atom_site_type_symbol
_atom_site_fract_x
_atom_site_fract_y
_atom_site_fract_z
Cs1 Cs 0.000 0.000 0.000
Cs2 Cs 0.196 0.500 0.591
Tm1 Tm 0.000 0.500 0.500
Tm2 Tm 0.033 0.000 0.760
Tm3 Tm 0.092 0.000 0.373
Tm4 Tm 0.154 0.500 0.225
Tm5 Tm 0.162 0.500 0.818
Tm6 Tm 0.204 0.000 0.072
Te1 Te 0.005 0.500 0.349
Te2 Te 0.062 0.500 0.863
Te3 Te 0.075 0.000 0.217
Te4 Te 0.081 0.000 0.517
Te5 Te 0.128 0.500 0.070
Te6 Te 0.133 0.000 0.716
Te7 Te 0.172 0.500 0.381
Te8 Te 0.209 0.000 0.922
Te9 Te 0.233 0.000 0.225
```

***

Material: CsZrUTe5
Method: DFT, SCAN
State: PBEsol geometry

Values from the calculation:
As for the energy relative to the elements, uncorrected: -0.915 eV/atom. The density of states at the Fermi level is 5.1 states/eV/f.u.

```
data_CsZrUTe5
_chemical_formula_sum 'Cs2 Zr2 U2 Te10'
_symmetry_space_group_name_H-M 'P m m a'
_symmetry_Int_Tables_number 51
_cell_length_a 6.167
_cell_length_b 8.291
_cell_length_c 10.290
_cell_angle_alpha 90.00
_cell_angle_beta 90.00
_cell_angle_gamma 90.00
loop_
_symmetry_equiv_pos_as_xyz
'x,y,z'
'-x,-y,-z'
'-x+1/2,-y,z'
'x+1/2,y,-z'
'x+1/2,-y,-z'
'-x+1/2,y,z'
'-x,y,-z'
'x,-y,z'
loop_
_atom_site_label
_atom_site_type_symbol
_atom_site_fract_x
_atom_site_fract_y
_atom_site_fract_z
Cs1 Cs 0.250 0.000 0.213
Zr1 Zr 0.000 0.500 0.000
U1 U 0.250 0.500 0.669
Te1 Te 0.000 0.253 0.500
Te2 Te 0.250 0.244 0.879
Te3 Te 0.250 0.500 0.238
```

***

Material: Cs2TeW2
Method: DFT, SCAN
State: PBEsol geometry

Values from the calculation:
As for the energy relative to the elements, uncorrected: 0.719 eV/atom. The density of states at the Fermi level is 3.5 states/eV/f.u.

```
data_Cs2TeW2
_chemical_formula_sum 'Cs4 Te2 W4'
_symmetry_space_group_name_H-M 'I 4/m m m'
_symmetry_Int_Tables_number 139
_symmetry_space_group_name_Hall '-I 4 2'
_cell_length_a 3.574
_cell_length_b 3.574
_cell_length_c 25.294
_cell_angle_alpha 90.00
_cell_angle_beta 90.00
_cell_angle_gamma 90.00
loop_
_atom_site_label
_atom_site_type_symbol
_atom_site_fract_x
_atom_site_fract_y
_atom_site_fract_z
Cs1 Cs 0.000 0.000 0.109
Te1 Te 0.000 0.000 0.500
W1 W 0.000 0.500 0.250
```

***

Material: Cs3YTe
Method: DFT, SCAN
State: PBEsol geometry

Values from the calculation:
As for the energy relative to the elements, uncorrected: -0.001 eV/atom. The density of states at the Fermi level is 3.4 states/eV/f.u.

```
data_Cs3YTe
_chemical_formula_sum 'Cs3 Y1 Te1'
_symmetry_space_group_name_H-M 'P m -3 m'
_symmetry_Int_Tables_number 221
_symmetry_space_group_name_Hall '-P 4 2 3'
_cell_length_a 7.202
_cell_length_b 7.202
_cell_length_c 7.202
_cell_angle_alpha 90.00
_cell_angle_beta 90.00
_cell_angle_gamma 90.00
loop_
_atom_site_label
_atom_site_type_symbol
_atom_site_fract_x
_atom_site_fract_y
_atom_site_fract_z
Cs1 Cs 0.000 0.000 0.500
Y1 Y 0.500 0.500 0.500
Te1 Te 0.000 0.000 0.000
```

***

Material: Cs2YTe
Method: DFT, SCAN
State: PBEsol geometry

Values from the calculation:
As for the energy relative to the elements, uncorrected: 0.191 eV/atom. The density of states at the Fermi level is 5.3 states/eV/f.u.

```
data_Cs2YTe
_chemical_formula_sum 'Cs8 Y4 Te4'
_symmetry_space_group_name_H-M 'F m -3 m'
_symmetry_Int_Tables_number 225
_symmetry_space_group_name_Hall '-F 4 2 3'
_cell_length_a 8.923
_cell_length_b 8.923
_cell_length_c 8.923
_cell_angle_alpha 90.00
_cell_angle_beta 90.00
_cell_angle_gamma 90.00
loop_
_atom_site_label
_atom_site_type_symbol
_atom_site_fract_x
_atom_site_fract_y
_atom_site_fract_z
Cs1 Cs 0.250 0.250 0.250
Y1 Y 0.000 0.000 0.000
Te1 Te 0.000 0.000 0.500
```